[1]
Compound: Sm5Ge2Pt12
Source: the Alexandria database
Functional: PBE-GGA
Structure: optimized geometry

Lattice parameters (Å, degrees): 6.6539 7.1799 8.6557 65.50 84.34 90.00
With the nearest neighbours (Å) after each atom.
Atoms (fractional coordinates):
1 Sm 0.5839 0.7612 0.4776  9 Pt 2.95-3.18
2 Sm 0.0585 0.6896 0.6209  7 Pt 2.89-3.10
3 Sm 0.5000 0.0000 0.0000  8 Pt 2.92-3.05
4 Sm 0.9415 0.3104 0.3791  7 Pt 2.89-3.10
5 Sm 0.4161 0.2388 0.5224  9 Pt 2.95-3.18
6 Ge 0.0000 0.7200 0.0000  6 Pt 2.61-2.71
7 Ge 0.0000 0.2800 0.0000  6 Pt 2.61-2.71
8 Pt 0.0726 0.1040 0.7920  2 Ge 2.61, 4 Pt 2.77-2.86
9 Pt 0.7396 0.3399 0.6948  4 Pt 2.69-2.78, 2 Sm 2.99-3.01
10 Pt 0.7396 0.9654 0.6948  4 Pt 2.69-2.78, 2 Sm 2.99-3.01
11 Pt 0.3491 0.4031 0.8025  1 Ge 2.66, 5 Pt 2.78-2.93, 2 Sm 2.89-2.92
12 Pt 0.3491 0.7944 0.8025  1 Ge 2.66, 5 Pt 2.78-2.93, 2 Sm 2.89-2.92
13 Pt 0.7118 0.5571 0.8858  6 Pt 2.70-2.93, 2 Ge 2.71, 1 Sm 2.94
14 Pt 0.2882 0.4429 0.1142  6 Pt 2.70-2.93, 2 Ge 2.71, 1 Sm 2.94
15 Pt 0.6509 0.5969 0.1975  1 Ge 2.66, 5 Pt 2.78-2.93, 2 Sm 2.89-2.92
16 Pt 0.6509 0.2056 0.1975  1 Ge 2.66, 5 Pt 2.78-2.93, 2 Sm 2.89-2.92
17 Pt 0.2604 0.6601 0.3052  4 Pt 2.69-2.78, 2 Sm 2.99-3.01
18 Pt 0.2604 0.0346 0.3052  4 Pt 2.69-2.78, 2 Sm 2.99-3.01
19 Pt 0.9274 0.8960 0.2080  2 Ge 2.61, 4 Pt 2.77-2.86

Computed properties:
The electronic total energy comes out at -6.442 eV per atom. As for the space group: C2/m. The formation energy comes out at -899 meV per atom. The crystal system is monoclinic. As for the density of states at the Fermi level: 9.563 states/eV per cell.



[2]
Compound: SmGePt2
Source: the Alexandria database
Functional: PBE-GGA
Structure: optimized geometry

Lattice parameters (Å, degrees): 5.7379 7.1001 7.5280 90.00 90.00 90.00
With the nearest neighbours (Å) after each atom.
Atoms (fractional coordinates):
1 Sm 0.3569 0.2500 0.0268  3 Ge 3.07-3.12, 8 Pt 3.07-3.21
2 Sm 0.8569 0.7500 0.4732  3 Ge 3.07-3.12, 8 Pt 3.07-3.21
3 Sm 0.6431 0.7500 0.9732  3 Ge 3.07-3.12, 8 Pt 3.07-3.21
4 Sm 0.1431 0.2500 0.5268  3 Ge 3.07-3.12, 8 Pt 3.07-3.21
5 Ge 0.6415 0.2500 0.3794  6 Pt 2.55-2.71
6 Ge 0.1415 0.7500 0.1206  6 Pt 2.55-2.71
7 Ge 0.3585 0.7500 0.6206  6 Pt 2.55-2.71
8 Ge 0.8585 0.2500 0.8794  6 Pt 2.55-2.71
9 Pt 0.9163 0.0519 0.1843  3 Ge 2.55-2.71, 1 Pt 2.81
10 Pt 0.4163 0.9481 0.3157  3 Ge 2.55-2.71, 1 Pt 2.81
11 Pt 0.0837 0.5519 0.8157  3 Ge 2.55-2.71, 1 Pt 2.81
12 Pt 0.5837 0.4481 0.6843  3 Ge 2.55-2.71, 1 Pt 2.81
13 Pt 0.0837 0.9481 0.8157  3 Ge 2.55-2.71, 1 Pt 2.81
14 Pt 0.5837 0.0519 0.6843  3 Ge 2.55-2.71, 1 Pt 2.81
15 Pt 0.9163 0.4481 0.1843  3 Ge 2.55-2.71, 1 Pt 2.81
16 Pt 0.4163 0.5519 0.3157  3 Ge 2.55-2.71, 1 Pt 2.81

Computed properties:
The electronic total energy comes out at -6.363 eV per atom. As for the space group: Pnma. The formation energy comes out at -1009 meV per atom. The crystal system is orthorhombic. As for the density of states at the Fermi level: 6.075 states/eV per cell.



[3]
Compound: Sm3Ge4Pt2
Source: the Alexandria database
Functional: PBE-GGA
Structure: optimized geometry

Lattice parameters (Å, degrees): 4.4327 5.7702 8.5077 105.85 90.00 112.59
With the nearest neighbours (Å) after each atom.
Atoms (fractional coordinates):
1 Sm 0.6381 0.2762 0.6876  4 Pt 3.04-3.21, 8 Ge 3.05-3.29
2 Sm 0.0000 0.0000 0.0000  8 Ge 3.16-3.47, 4 Pt 3.46
3 Sm 0.3619 0.7238 0.3124  4 Pt 3.04-3.21, 8 Ge 3.05-3.29
4 Ge 0.7206 0.4411 0.0626  1 Pt 2.48, 2 Ge 2.61
5 Ge 0.2794 0.5589 0.9374  1 Pt 2.48, 2 Ge 2.61
6 Ge 0.8996 0.7992 0.5732  2 Pt 2.53, 1 Ge 2.78
7 Ge 0.1004 0.2008 0.4268  2 Pt 2.53, 1 Ge 2.78
8 Pt 0.6472 0.2943 0.3134  3 Ge 2.48-2.53
9 Pt 0.3528 0.7057 0.6866  3 Ge 2.48-2.53

Computed properties:
The electronic total energy comes out at -5.909 eV per atom. As for the space group: C2/m. The formation energy comes out at -941 meV per atom. The crystal system is monoclinic. As for the density of states at the Fermi level: 3.796 states/eV per cell.



[4]
Compound: Sm2Ge3Pt
Source: the Alexandria database
Functional: PBE-GGA
Structure: optimized geometry

Lattice parameters (Å, degrees): 5.9649 5.9649 8.5018 110.80 110.80 89.30
With the nearest neighbours (Å) after each atom.
Atoms (fractional coordinates):
1 Sm 0.7500 0.2500 0.5000  8 Ge 3.22, 4 Pt 3.23
2 Sm 0.7522 0.2478 0.0000  10 Ge 3.23, 2 Pt 3.24
3 Sm 0.2500 0.7500 0.5000  8 Ge 3.22, 4 Pt 3.23
4 Sm 0.2478 0.7522 0.0000  10 Ge 3.23, 2 Pt 3.24
5 Ge 0.8321 0.8321 0.1677  1 Pt 2.43, 2 Ge 2.47
6 Ge 0.6644 0.6644 0.8323  1 Pt 2.43, 2 Ge 2.47
7 Ge 0.1679 0.1679 0.8323  1 Pt 2.43, 2 Ge 2.47
8 Ge 0.3356 0.3356 0.1677  1 Pt 2.43, 2 Ge 2.47
9 Ge 0.1681 0.1681 0.3363  1 Pt 2.43, 2 Ge 2.47
10 Ge 0.8319 0.8319 0.6637  1 Pt 2.43, 2 Ge 2.47
11 Pt 0.6667 0.6667 0.3334  3 Ge 2.43
12 Pt 0.3333 0.3333 0.6666  3 Ge 2.43

Computed properties:
The electronic total energy comes out at -5.787 eV per atom. As for the space group: Fmmm. The value obtained for the distance to the lowest polymorph of the same formula is 0.00 eV/f.u. The formation energy comes out at -898 meV per atom. The crystal system is orthorhombic. As for the density of states at the Fermi level: 5.725 states/eV per cell.



[5]
Compound: SmGe2Pt7
Source: the Alexandria database
Functional: PBE-GGA
Structure: optimized geometry

Lattice parameters (Å, degrees): 4.5040 7.2061 7.2061 119.23 90.00 90.00
With the nearest neighbours (Å) after each atom.
Atoms (fractional coordinates):
1 Sm 0.0000 0.0000 0.0000  10 Pt 2.82-3.00
2 Ge 0.5000 0.6980 0.3020  7 Pt 2.44-2.69
3 Ge 0.5000 0.3020 0.6980  7 Pt 2.44-2.69
4 Pt 0.0000 0.7728 0.2272  2 Ge 2.44
5 Pt 0.0000 0.2272 0.7728  2 Ge 2.44
6 Pt 0.5000 0.0721 0.3034  2 Ge 2.50-2.69, 2 Pt 2.69-2.74
7 Pt 0.5000 0.9279 0.6966  2 Ge 2.50-2.69, 2 Pt 2.69-2.74
8 Pt 0.5000 0.3034 0.0721  2 Ge 2.50-2.69, 2 Pt 2.69-2.74
9 Pt 0.5000 0.6966 0.9279  2 Ge 2.50-2.69, 2 Pt 2.69-2.74
10 Pt 0.5000 0.5000 0.5000  2 Ge 2.46, 4 Pt 2.69

Computed properties:
The electronic total energy comes out at -5.956 eV per atom. As for the space group: Cmmm. The value obtained for the distance to the lowest polymorph of the same formula is 3.04 eV/f.u. The formation energy comes out at -332 meV per atom. The crystal system is orthorhombic. As for the density of states at the Fermi level: 3.633 states/eV per cell.



[6]
Compound: SmGe2Pt
Source: the Alexandria database
Functional: PBE-GGA
Structure: optimized geometry

Lattice parameters (Å, degrees): 9.6358 9.6358 9.6358 153.51 125.48 61.62
With the nearest neighbours (Å) after each atom.
Atoms (fractional coordinates):
1 Sm 0.2428 0.0000 0.2428  4 Pt 3.31, 10 Ge 3.31-3.41
2 Sm 0.7572 0.0000 0.7572  4 Pt 3.31, 10 Ge 3.31-3.41
3 Sm 0.2024 0.2024 0.0000  8 Ge 3.06-3.09, 6 Pt 3.25-3.30
4 Sm 0.7976 0.7976 0.0000  8 Ge 3.06-3.09, 6 Pt 3.25-3.30
5 Ge 0.0741 0.5741 0.5000  1 Ge 2.45, 2 Pt 2.54
6 Ge 0.5745 0.5745 0.0000  1 Ge 2.47, 2 Pt 2.52
7 Ge 0.5479 0.1980 0.3498  3 Pt 2.51-2.68, 1 Ge 2.65
8 Ge 0.8482 0.1980 0.6502  3 Pt 2.51-2.68, 1 Ge 2.65
9 Ge 0.1518 0.8020 0.3498  3 Pt 2.51-2.68, 1 Ge 2.65
10 Ge 0.4521 0.8020 0.6502  3 Pt 2.51-2.68, 1 Ge 2.65
11 Ge 0.4255 0.4255 0.0000  1 Ge 2.47, 2 Pt 2.52
12 Ge 0.9259 0.4259 0.5000  1 Ge 2.45, 2 Pt 2.54
13 Pt 0.3999 0.6491 0.7509  5 Ge 2.51-2.68
14 Pt 0.8982 0.6491 0.2491  5 Ge 2.51-2.68
15 Pt 0.1018 0.3509 0.7509  5 Ge 2.51-2.68
16 Pt 0.6001 0.3509 0.2491  5 Ge 2.51-2.68

Computed properties:
The electronic total energy comes out at -5.901 eV per atom. As for the space group: Immm. The formation energy comes out at -902 meV per atom. The crystal system is orthorhombic. As for the density of states at the Fermi level: 5.594 states/eV per cell.



[7]
Compound: Sm3Ge2Pt9
Source: the Alexandria database
Functional: PBE-GGA
Structure: optimized geometry

Lattice parameters (Å, degrees): 4.0482 8.4741 8.4741 80.99 76.18 76.18
With the nearest neighbours (Å) after each atom.
Atoms (fractional coordinates):
1 Sm 0.0000 0.0000 0.0000  12 Pt 3.19-3.52, 4 Ge 3.44
2 Sm 0.6809 0.3191 0.3191  10 Pt 3.00-3.15
3 Sm 0.3191 0.6809 0.6809  10 Pt 3.00-3.15
4 Ge 0.5000 0.2527 0.7473  6 Pt 2.52-2.53
5 Ge 0.5000 0.7473 0.2527  6 Pt 2.52-2.53
6 Pt 0.0000 0.5000 0.5000  4 Pt 2.72, 4 Sm 3.00
7 Pt 0.6688 0.9525 0.7099  1 Ge 2.52, 4 Pt 2.67-2.82
8 Pt 0.3312 0.0475 0.2901  1 Ge 2.52, 4 Pt 2.67-2.82
9 Pt 0.6688 0.7099 0.9525  1 Ge 2.52, 4 Pt 2.67-2.82
10 Pt 0.3312 0.2901 0.0475  1 Ge 2.52, 4 Pt 2.67-2.82
11 Pt 0.8805 0.8281 0.4108  2 Ge 2.53, 4 Pt 2.72-2.82
12 Pt 0.1195 0.1719 0.5891  2 Ge 2.53, 4 Pt 2.72-2.82
13 Pt 0.8805 0.4108 0.8281  2 Ge 2.53, 4 Pt 2.72-2.82
14 Pt 0.1195 0.5891 0.1719  2 Ge 2.53, 4 Pt 2.72-2.82

Computed properties:
The electronic total energy comes out at -6.341 eV per atom. As for the space group: Immm. The formation energy comes out at -787 meV per atom. The crystal system is orthorhombic. As for the density of states at the Fermi level: 7.009 states/eV per cell.



[8]
Compound: Sm3Ge5Pt6
Source: the Alexandria database
Functional: PBE-GGA
Structure: optimized geometry

Lattice parameters (Å, degrees): 4.1927 9.7673 12.9938 90.00 90.00 90.00
With the nearest neighbours (Å) after each atom.
Atoms (fractional coordinates):
1 Sm 0.0000 0.2454 0.6687  6 Ge 3.06-3.15, 7 Pt 3.14-3.26
2 Sm 0.5000 0.7546 0.1687  6 Ge 3.06-3.15, 7 Pt 3.14-3.26
3 Sm 0.5000 0.7546 0.8313  6 Ge 3.06-3.15, 7 Pt 3.14-3.26
4 Sm 0.0000 0.2569 0.0000  6 Ge 3.13-3.20, 6 Pt 3.26
5 Sm 0.5000 0.7431 0.5000  6 Ge 3.13-3.20, 6 Pt 3.26
6 Sm 0.0000 0.2454 0.3313  6 Ge 3.06-3.15, 7 Pt 3.14-3.26
7 Ge 0.0000 0.5379 0.8840  5 Pt 2.53-2.68
8 Ge 0.0000 0.8510 0.6674  5 Pt 2.50-2.65
9 Ge 0.0000 0.8421 0.0000  4 Pt 2.61-2.70
10 Ge 0.5000 0.4621 0.6160  5 Pt 2.53-2.68
11 Ge 0.5000 0.1579 0.5000  4 Pt 2.61-2.70
12 Ge 0.0000 0.5379 0.1160  5 Pt 2.53-2.68
13 Ge 0.5000 0.4621 0.3840  5 Pt 2.53-2.68
14 Ge 0.0000 0.8510 0.3326  5 Pt 2.50-2.65
15 Ge 0.5000 0.1490 0.8326  5 Pt 2.50-2.65
16 Ge 0.5000 0.1490 0.1674  5 Pt 2.50-2.65
17 Pt 0.0000 0.0074 0.8338  4 Ge 2.51-2.70
18 Pt 0.5000 0.9926 0.6662  4 Ge 2.51-2.70
19 Pt 0.5000 0.4020 0.8054  4 Ge 2.50-2.68, 1 Pt 2.75
20 Pt 0.5000 0.5128 0.0000  4 Ge 2.59, 2 Pt 2.75
21 Pt 0.0000 0.4872 0.5000  4 Ge 2.59, 2 Pt 2.75
22 Pt 0.0000 0.5980 0.6946  4 Ge 2.50-2.68, 1 Pt 2.75
23 Pt 0.0000 0.5980 0.3054  4 Ge 2.50-2.68, 1 Pt 2.75
24 Pt 0.5000 0.0018 0.0000  4 Ge 2.61
25 Pt 0.0000 0.0074 0.1662  4 Ge 2.51-2.70
26 Pt 0.5000 0.4020 0.1946  4 Ge 2.50-2.68, 1 Pt 2.75
27 Pt 0.0000 0.9982 0.5000  4 Ge 2.61
28 Pt 0.5000 0.9926 0.3338  4 Ge 2.51-2.70

Computed properties:
The electronic total energy comes out at -6.158 eV per atom. As for the space group: Pmmn. The formation energy comes out at -909 meV per atom. The crystal system is orthorhombic. As for the density of states at the Fermi level: 13.509 states/eV per cell.



| no. | ρ (Mg/m³) |
| --- | --- |
| 1 | 14.37 |
| 2 | 13.28 |
| 3 | 9.79 |
| 4 | 9.04 |
| 5 | 13.51 |
| 6 | 10.10 |
| 7 | 14.33 |
| 8 | 12.39 |